Here is a relaxed NaCe3Pr4Se8 crystal from Alexandria. Energies are from GGA-PBE.

Computed properties:
spin magnetization = 3.2 μB/f.u.
E = -5.93 eV/atom
DOS(E_F) = 22.58 states/eV per cell

abc: 8.490 8.490 8.490
angles: 59.88 59.88 59.88
Sites, in units of the cell vectors:
Na 0.000 0.000 0.000
Ce 0.000 0.500 0.500
Ce 0.500 0.000 0.500
Ce 0.500 0.500 0.000
Pr 0.000 0.000 0.500
Pr 0.000 0.500 0.000
Pr 0.500 0.000 0.000
Pr 0.500 0.500 0.500
Se 0.247 0.247 0.750
Se 0.247 0.750 0.247
Se 0.250 0.753 0.753
Se 0.252 0.252 0.252
Se 0.748 0.748 0.748
Se 0.750 0.247 0.247
Se 0.753 0.250 0.753
Se 0.753 0.753 0.250